# 1
Compound: Dy2Er2Hg
Source: the Alexandria database
Functional: PBE
Structure: optimized geometry

abc: 12.856 12.856 12.856
angles: 157.45 157.45 32.11
Element x y z (fractional)
1 Dy 0.049 0.299 0.750
2 Dy 0.299 0.049 0.250
3 Dy 0.701 0.951 0.750
4 Dy 0.951 0.701 0.250
5 Er 0.198 0.448 0.750
6 Er 0.448 0.198 0.250
7 Er 0.552 0.802 0.750
8 Er 0.802 0.552 0.250
9 Hg 0.125 0.875 0.250
10 Hg 0.875 0.125 0.750

Results
Formation energy from the elements, eV/atom: -0.036
Total energy, eV per atom: -3.762
Total magnetic moment, Bohr magnetons per cell: 2.221

***

# 2
Compound: LaSI
Source: the Alexandria database
Functional: PBE
Structure: optimized geometry

abc: 4.856 4.856 7.933
angles: 90.00 90.00 90.00
Element x y z (fractional)
1 La 0.250 0.250 0.187
2 La 0.750 0.750 0.813
3 S 0.250 0.750 0.000
4 S 0.750 0.250 0.000
5 I 0.250 0.250 0.622
6 I 0.750 0.750 0.378

Results
E_form (uncorrected), meV per atom: -1896
Total energy, eV per atom: -5.431
Total magnetic moment, Bohr magnetons per cell: 0.000

***

> Number 2 is which compound?

LaSI

***

> Among the records above, which one has the lowest total magnetic moment?

LaSI

***

Repeat the first record exactly.
Compound: Dy2Er2Hg
Source: the Alexandria database
Functional: PBE
Structure: optimized geometry

abc: 12.856 12.856 12.856
angles: 157.45 157.45 32.11
Element x y z (fractional)
1 Dy 0.049 0.299 0.750
2 Dy 0.299 0.049 0.250
3 Dy 0.701 0.951 0.750
4 Dy 0.951 0.701 0.250
5 Er 0.198 0.448 0.750
6 Er 0.448 0.198 0.250
7 Er 0.552 0.802 0.750
8 Er 0.802 0.552 0.250
9 Hg 0.125 0.875 0.250
10 Hg 0.875 0.125 0.750

Results
Formation energy from the elements, eV/atom: -0.036
Total energy, eV per atom: -3.762
Total magnetic moment, Bohr magnetons per cell: 2.221